Entry 1:
## InOsSe2Br (PBE)

Data for InOsSe2Br after structural relaxation.

Structure (POSCAR):
```
InOsSe2Br
1.0
4.858 0.000 0.000
0.000 4.858 0.000
0.000 0.000 5.487
In Os Se Br
1 1 2 1
Cartesian
0.000 0.000 0.000
2.429 2.429 2.744
0.000 2.429 2.744
2.429 0.000 2.744
2.429 2.429 0.000
```

Results
- ΔE to the lowest computed polymorph: 0.000 eV/atom
- Magnetization: 0.0 μB/f.u.
- Space group: P4/mmm (123)

Entry 2:
## TbGdZr2 (PBE)

Data for TbGdZr2 after structural relaxation.

Structure (POSCAR):
```
TbGdZr2
1.0
3.350 0.000 0.000
-1.675 2.901 0.000
0.000 0.000 32.951
Tb Gd Zr
3 3 6
Cartesian
0.000 0.000 0.000
0.000 1.934 21.967
1.675 0.967 10.984
0.000 0.000 16.476
0.000 1.934 5.492
1.675 0.967 27.459
0.000 0.000 8.239
0.000 0.000 24.712
0.000 1.934 13.728
0.000 1.934 30.207
1.675 0.967 2.745
1.675 0.967 19.223
```

Results
- ΔE to the lowest computed polymorph: 0.006 eV/atom
- Energy of formation from the pure elements: 0.139 eV/atom
- Magnetization: 6.9 μB/f.u.
- Space group: R-3m (166)

Entry 3:
## Y2GaGe2 (PBE)

Data for Y2GaGe2 after structural relaxation.

Structure (POSCAR):
```
Y2GaGe2
1.0
4.061 0.000 0.000
0.000 6.269 0.000
0.000 0.000 8.592
Y Ga Ge
4 2 4
Cartesian
0.000 0.000 1.881
0.000 0.000 6.711
2.031 3.135 2.415
2.031 3.135 6.177
0.000 3.135 0.000
2.031 0.000 4.296
0.000 1.829 4.296
0.000 4.440 4.296
2.031 1.306 0.000
2.031 4.963 0.000
```

Results
- Energy of formation from the pure elements: -0.746 eV/atom
- Magnetization: 0.0 μB/f.u.
- Space group: Immm (71)

Entry 4:
## Dy4ScTl (PBE)

Data for Dy4ScTl after structural relaxation.

Structure (POSCAR):
```
Dy4ScTl
1.0
4.297 -6.916 0.000
4.297 6.916 0.000
-2.021 0.000 6.042
Dy Sc Tl
8 2 2
Cartesian
1.531 4.267 5.796
1.259 1.660 3.724
4.033 4.267 3.267
2.269 -1.660 0.703
4.305 1.660 5.339
2.541 -4.267 2.775
5.315 -1.660 2.318
5.043 -4.267 0.246
3.792 1.288 1.510
2.782 -1.288 4.531
3.792 6.913 1.510
2.782 -6.913 4.531
```

Results
- ΔE to the lowest computed polymorph: 0.051 eV/atom
- Energy of formation from the pure elements: 0.017 eV/atom
- Magnetization: 0.0 μB/f.u.
- Space group: C2/c (15)

Entry 5:
## CdP2 (PBE)

Data for CdP2 after structural relaxation.

Structure (POSCAR):
```
CdP2
1.0
4.716 0.000 0.000
-2.358 4.084 0.000
0.000 0.000 2.776
Cd P
1 2
Cartesian
0.000 0.000 0.000
0.000 2.723 1.388
2.358 1.361 1.388
```

Results
- Energy of formation from the pure elements: 0.534 eV/atom
- Magnetization: 0.0 μB/f.u.
- Space group: P6/mmm (191)

Entry 6:
## AcPmGe2O8 (PBE)

Data for AcPmGe2O8 after structural relaxation.

Structure (POSCAR):
```
AcPmGe2O8
1.0
-2.640 2.640 6.002
2.640 -2.640 6.002
2.640 2.640 -6.002
Ac Pm Ge O
1 1 2 8
Cartesian
0.000 0.000 0.000
2.640 0.000 3.001
0.000 0.000 6.002
0.000 2.640 3.001
1.344 -0.652 5.026
1.987 1.296 0.976
-0.772 1.305 2.107
1.296 3.292 -0.976
1.335 1.868 3.895
0.652 1.344 6.979
0.772 3.974 2.107
-1.335 3.412 3.895
```

Results
- Uncorrected energy: -7.0152 eV per atom
- Magnetization: 2.0 μB/f.u.
- Space group: I-4 (82)